1.
# RbMnSCl2

Crystalline RbMnSCl2 at its relaxed geometry (PBE, the Alexandria database).

Cell and atoms, written as extended XYZ:
```
5
Lattice="5.142 0.000 0.000 0.000 5.142 0.000 0.000 0.000 4.611" Properties=species:S:1:pos:R:3 pbc="T T T"
Rb 0.000 0.000 0.000
Mn 2.571 2.571 2.306
S 2.571 2.571 0.000
Cl 0.000 2.571 2.306
Cl 2.571 0.000 2.306
```

Computed properties:
energy	-4.646	eV/atom
space-group type	P4/mmm (123)
raw formation energy	-1.055	eV/atom
M_tot	3.999	μB/f.u.
distance to the lowest polymorph of the same formula	0	meV/atom



2.
# RbMnS2Cl

Crystalline RbMnS2Cl at its relaxed geometry (PBE, the Alexandria database).

Cell and atoms, written as extended XYZ:
```
5
Lattice="4.445 0.000 0.000 0.000 4.445 0.000 0.000 0.000 5.473" Properties=species:S:1:pos:R:3 pbc="T T T"
Rb 0.000 0.000 0.000
Mn 2.223 2.223 2.736
S 0.000 2.223 2.736
S 2.223 0.000 2.736
Cl 2.223 2.223 0.000
```

Computed properties:
energy	-4.590	eV/atom
space-group type	P4/mmm (123)
raw formation energy	-0.542	eV/atom
M_tot	0.010	μB/f.u.
distance to the lowest polymorph of the same formula	0	meV/atom



3.
# RbMn2SbCl8

Crystalline RbMn2SbCl8 at its relaxed geometry (PBE, the Alexandria database).

Cell and atoms, written as extended XYZ:
```
12
Lattice="3.225 1.862 10.589 -3.225 1.862 10.589 0.000 -3.724 10.589" Properties=species:S:1:pos:R:3 pbc="T T T"
Rb 0.000 0.000 0.000
Mn 0.000 0.000 7.810
Mn 0.000 0.000 23.957
Sb 0.000 0.000 15.883
Cl -0.974 -1.822 14.132
Cl -1.091 -1.755 17.634
Cl 0.000 0.000 10.081
Cl -1.091 1.755 14.132
Cl -0.974 1.822 17.634
Cl 0.000 0.000 21.685
Cl 2.065 0.068 14.132
Cl 2.065 -0.068 17.634
```

Computed properties:
energy	-4.286	eV/atom
space-group type	R32 (155)
raw formation energy	-1.102	eV/atom
M_tot	10.000	μB/f.u.



4.
# RbMnSbCl2

Crystalline RbMnSbCl2 at its relaxed geometry (PBE, the Alexandria database).

Cell and atoms, written as extended XYZ:
```
5
Lattice="5.278 0.000 0.000 0.000 5.278 0.000 0.000 0.000 5.274" Properties=species:S:1:pos:R:3 pbc="T T T"
Rb 0.000 0.000 0.000
Mn 2.639 2.639 2.637
Sb 2.639 2.639 0.000
Cl 0.000 2.639 2.637
Cl 2.639 0.000 2.637
```

Computed properties:
energy	-4.251	eV/atom
space-group type	P4/mmm (123)
raw formation energy	-0.661	eV/atom
M_tot	3.000	μB/f.u.



5.
# RbSc2MnCl

Crystalline RbSc2MnCl at its relaxed geometry (PBE, the Alexandria database).

Cell and atoms, written as extended XYZ:
```
5
Lattice="4.788 0.000 0.000 0.000 4.788 0.000 0.000 0.000 6.816" Properties=species:S:1:pos:R:3 pbc="T T T"
Rb 0.000 0.000 0.000
Sc 0.000 2.394 3.408
Sc 2.394 0.000 3.408
Mn 2.394 2.394 3.408
Cl 2.394 2.394 0.000
```

Computed properties:
energy	-4.711	eV/atom
space-group type	P4/mmm (123)
raw formation energy	0.218	eV/atom
M_tot	1.241	μB/f.u.



6.
# RbScMnCl6

Crystalline RbScMnCl6 at its relaxed geometry (PBE, the Alexandria database).

Cell and atoms, written as extended XYZ:
```
18
Lattice="6.273 0.000 0.000 -3.137 5.433 0.000 0.000 0.000 15.168" Properties=species:S:1:pos:R:3 pbc="T T T"
Rb 0.000 0.000 0.000
Rb 0.000 0.000 7.584
Sc 0.000 3.622 3.792
Sc 3.137 1.811 11.376
Mn 0.000 3.622 11.376
Mn 3.137 1.811 3.792
Cl -1.061 2.035 9.978
Cl -1.905 3.496 12.774
Cl 1.061 2.035 12.774
Cl -0.844 5.335 9.978
Cl 2.293 0.098 2.394
Cl 1.231 1.936 5.190
Cl 1.905 3.496 9.978
Cl 0.844 5.335 12.774
Cl 3.981 0.098 5.190
Cl 2.075 3.398 2.394
Cl 5.042 1.936 2.394
Cl 4.198 3.398 5.190
```

Computed properties:
energy	-4.580	eV/atom
space-group type	P-31c (163)
raw formation energy	-1.519	eV/atom
M_tot	0.934	μB/f.u.



7.
# RbMnSeCl6

Crystalline RbMnSeCl6 at its relaxed geometry (PBE, the Alexandria database).

Cell and atoms, written as extended XYZ:
```
9
Lattice="6.760 0.000 0.000 -2.028 6.586 0.000 -0.566 -1.303 6.990" Properties=species:S:1:pos:R:3 pbc="T T T"
Rb 0.000 0.000 0.000
Mn 2.869 1.357 4.178
Se 2.191 4.555 2.229
Cl 1.488 -0.366 4.375
Cl 0.988 4.921 0.347
Cl 1.724 1.990 2.248
Cl 3.790 0.998 6.170
Cl 4.750 0.219 2.763
Cl 3.754 3.474 4.199
```

Computed properties:
energy	-3.683	eV/atom
space-group type	P1 (1)
raw formation energy	-0.938	eV/atom
M_tot	3.941	μB/f.u.



8.
# RbSmMn2Cl8

Crystalline RbSmMn2Cl8 at its relaxed geometry (PBE, the Alexandria database).

Cell and atoms, written as extended XYZ:
```
12
Lattice="3.248 1.875 10.476 -3.248 1.875 10.476 0.000 -3.751 10.476" Properties=species:S:1:pos:R:3 pbc="T T T"
Rb 0.000 0.000 0.000
Sm 0.000 0.000 15.714
Mn 0.000 0.000 7.792
Mn 0.000 0.000 23.635
Cl -1.003 -1.846 13.965
Cl -1.097 -1.792 17.462
Cl 0.000 0.000 10.061
Cl -1.097 1.792 13.965
Cl -1.003 1.846 17.462
Cl 0.000 0.000 21.366
Cl 2.100 0.054 13.965
Cl 2.100 -0.054 17.462
```

Computed properties:
energy	-4.825	eV/atom
space-group type	R32 (155)
raw formation energy	-1.591	eV/atom
M_tot	10.000	μB/f.u.